Below is a geometry-optimized CuReSe2 structure, with properties calculated at the GGA-PBE level.

## Properties
polymorph energy (0 for the lowest one): 626 meV per atom
formation energy from raw total energies: 0.81 eV per atom

```
CuReSe2
1.0
-1.8943 1.8943 4.4749
1.8943 -1.8943 4.4749
1.8943 1.8943 -4.4749
Cu Re Se
1 1 2
Cartesian
0.0000 0.0000 0.0000 Cu
1.8943 0.0000 2.2375 Re
0.0000 0.0000 4.4749 Se
0.0000 1.8943 2.2375 Se
```